No. 1
The following is a DFT calculation (SCAN) of a PBEsol-optimized structure of NbGa3Ag.

Output
Magnetization   0.000 μB per atom
Formation enthalpy at 0 K   0.660 eV/atom
Theoretical density   5.65 g cm⁻³

Unit cell a=4.938 b=4.938 c=4.938 alpha=90.00 beta=90.00 gamma=90.00
Positions (direct):
Nb1 0.000 0.000 0.000
Ga1 0.000 0.000 0.500
Ga2 0.000 0.500 0.000
Ga3 0.500 0.000 0.000
Ag1 0.500 0.500 0.500

---

No. 2
The following is a DFT calculation (SCAN) of a PBEsol-optimized structure of NbGa2Ag2.

Output
Magnetization   0.000 μB per atom
Formation enthalpy at 0 K   0.067 eV/atom
Theoretical density   8.94 g cm⁻³

Unit cell a=3.792 b=3.792 c=11.579 alpha=90.00 beta=90.00 gamma=90.00
Positions (direct):
Nb1 0.000 0.000 0.000
Nb2 0.500 0.500 0.500
Ga1 0.000 0.000 0.401
Ga2 0.000 0.000 0.599
Ga3 0.500 0.500 0.099
Ga4 0.500 0.500 0.901
Ag1 0.000 0.500 0.250
Ag2 0.000 0.500 0.750
Ag3 0.500 0.000 0.250
Ag4 0.500 0.000 0.750

---

magnetization of number 2 (NbGa2Ag2)?
0.000 μB per atom